(one)
DFT (PBE) results for a relaxed Sn3PdN crystal.

Results
The density of states at the Fermi level is 2.8 states/eV per cell. The space group is Pm-3m, No. 221.

Cell: 5.1076 5.1076 5.1076 Å, 90.00 90.00 90.00°
With the nearest neighbours (Å) after each atom.
Sites, in units of the cell vectors:
Sn 0.0000 0.0000 0.5000  2 Pd 2.55
Sn 0.0000 0.5000 0.0000  2 Pd 2.55
Sn 0.5000 0.0000 0.0000  2 Pd 2.55
Pd 0.0000 0.0000 0.0000  6 Sn 2.55
N 0.5000 0.5000 0.5000  12 Sn 3.61

(two)
DFT (PBE) results for a relaxed Sn3PdN crystal.

Results
The density of states at the Fermi level is 3.4 states/eV per cell. The space group is Pm-3m, No. 221.

Cell: 4.6802 4.6802 4.6802 Å, 90.00 90.00 90.00°
With the nearest neighbours (Å) after each atom.
Sites, in units of the cell vectors:
Sn 0.0000 0.0000 0.5000  2 N 2.34
Sn 0.0000 0.5000 0.0000  2 N 2.34
Sn 0.5000 0.0000 0.0000  2 N 2.34
Pd 0.5000 0.5000 0.5000  12 Sn 3.31
N 0.0000 0.0000 0.0000  6 Sn 2.34

It is (two) that is the most stable of them.